Material: AcTlCoF6
Method: DFT, GGA+U
State: relaxed

Its crystal system is orthorhombic. Its calculated density is 6065 kg/m3. The electronic total energy comes out at -5.466 eV per atom.

The space group is Imma (No. 74) and the conventional cell measures 7.626, 8.371 and 10.368 Å, with angles of 90.00, 90.00 and 90.00 degrees. The inequivalent atoms are Ac at (0.000, 0.000, 0.000), Tl at (0.000, 0.250, 0.438), Co at (0.250, 0.250, 0.750), F at (0.000, 0.250, 0.123), F at (0.000, 0.250, 0.838) and F at (0.220, 0.077, 0.614).